Record 1
Material: Pu2Co3Ge5
Method: DFT, GGA-PBE
State: relaxed

Density of states at the Fermi level (states/eV per atom): 2.058
Energy (eV/atom): -7.666
Energy above the most stable polymorph in this dataset (eV per formula unit): 0.51
Crystal system: orthorhombic
Symmetry: Cmc2_1, No. 36
Formation energy from the elements (eV/atom): -0.360

abc: 12.281 12.281 6.531
angles: 90.00 90.00 160.70
Fractional positions:
Pu 0.023 0.977 0.500
Pu 0.328 0.672 0.520
Pu 0.672 0.328 0.020
Pu 0.977 0.023 0.000
Co 0.107 0.893 0.248
Co 0.278 0.722 0.025
Co 0.447 0.553 0.280
Co 0.553 0.447 0.780
Co 0.722 0.278 0.525
Co 0.893 0.107 0.748
Ge 0.097 0.903 0.870
Ge 0.208 0.792 0.316
Ge 0.211 0.789 0.733
Ge 0.378 0.622 0.998
Ge 0.449 0.551 0.667
Ge 0.551 0.449 0.167
Ge 0.622 0.378 0.498
Ge 0.789 0.211 0.233
Ge 0.792 0.208 0.816
Ge 0.903 0.097 0.370


Record 2
Material: Pu3Co2Ge3
Method: DFT, GGA-PBE
State: relaxed

Density of states at the Fermi level (states/eV per atom): 3.358
Energy (eV/atom): -9.271
Energy above the most stable polymorph in this dataset (eV per formula unit): 0.05
Crystal system: orthorhombic
Symmetry: Pnma, No. 62
Formation energy from the elements (eV/atom): -0.389

abc: 7.684 14.029 5.582
angles: 90.00 90.00 90.00
Fractional positions:
Pu 0.031 0.108 0.106
Pu 0.031 0.392 0.106
Pu 0.171 0.250 0.624
Pu 0.329 0.750 0.124
Pu 0.469 0.608 0.606
Pu 0.469 0.892 0.606
Pu 0.531 0.108 0.394
Pu 0.531 0.392 0.394
Pu 0.671 0.250 0.876
Pu 0.829 0.750 0.376
Pu 0.969 0.608 0.894
Pu 0.969 0.892 0.894
Co 0.111 0.607 0.373
Co 0.111 0.893 0.373
Co 0.389 0.107 0.873
Co 0.389 0.393 0.873
Co 0.611 0.607 0.127
Co 0.611 0.893 0.127
Co 0.889 0.107 0.627
Co 0.889 0.393 0.627
Ge 0.177 0.039 0.603
Ge 0.177 0.461 0.603
Ge 0.178 0.750 0.615
Ge 0.322 0.250 0.115
Ge 0.323 0.539 0.103
Ge 0.323 0.961 0.103
Ge 0.677 0.039 0.897
Ge 0.677 0.461 0.897
Ge 0.678 0.750 0.885
Ge 0.822 0.250 0.385
Ge 0.823 0.539 0.397
Ge 0.823 0.961 0.397


Record 3
Material: Pu2CoGe
Method: DFT, GGA-PBE
State: relaxed

Density of states at the Fermi level (states/eV per atom): 3.254
Energy (eV/atom): -10.280
Crystal system: tetragonal
Symmetry: P4/mmm, No. 123
Formation energy from the elements (eV/atom): -0.183

abc: 3.714 3.714 5.596
angles: 90.00 90.00 90.00
Fractional positions:
Pu 0.000 0.000 0.245
Pu 0.000 0.000 0.755
Co 0.500 0.500 0.000
Ge 0.500 0.500 0.500


no.,V (Å³ per atom),magnetic moment (μB/atom)
1,16.3,0.8850
2,18.8,0.7253
3,19.3,2.4134